Record 1
DFT (PBE-GGA) results for a relaxed Y2Be3GaIr4 crystal.

energy of formation	-667	meV per atom
total moment	0.00	Bohr magnetons per cell

CIF file:
```
data_Y2Be3GaIr4
_chemical_formula_sum 'Y2 Be3 Ga1 Ir4'
_symmetry_space_group_name_H-M 'P -4 m 2'
_symmetry_Int_Tables_number 115
_cell_length_a 4.090
_cell_length_b 4.090
_cell_length_c 9.452
_cell_angle_alpha 90.00
_cell_angle_beta 90.00
_cell_angle_gamma 90.00
loop_
_symmetry_equiv_pos_as_xyz
'x,y,z'
'y,-x,-z'
'-x,-y,z'
'-y,x,-z'
'-x,y,z'
'-y,-x,-z'
'x,-y,z'
'y,x,-z'
loop_
_atom_site_label
_atom_site_fract_x
_atom_site_fract_y
_atom_site_fract_z
_atom_site_occupancy
Y1 0.000 0.500 0.233 1
Be1 0.000 0.500 0.889 1
Be2 0.500 0.500 0.500 1
Ga1 0.000 0.000 0.500 1
Ir1 0.000 0.000 0.000 1
Ir2 0.000 0.500 0.643 1
Ir3 0.500 0.500 0.000 1
```

=====

Record 2
DFT (PBE-GGA) results for a relaxed Tb3TmAs4 crystal.

energy of formation	-1531	meV per atom
total moment	0.00	Bohr magnetons per cell

CIF file:
```
data_Tb3TmAs4
_chemical_formula_sum 'Tb6 Tm2 As8'
_symmetry_space_group_name_H-M 'C m m m'
_symmetry_Int_Tables_number 65
_symmetry_space_group_name_Hall '-C 2 2'
_cell_length_a 8.238
_cell_length_b 11.651
_cell_length_c 4.122
_cell_angle_alpha 90.00
_cell_angle_beta 90.00
_cell_angle_gamma 90.00
loop_
_atom_site_label
_atom_site_fract_x
_atom_site_fract_y
_atom_site_fract_z
_atom_site_occupancy
Tb1 0.000 0.000 0.000 1
Tb2 0.250 0.250 0.500 1
Tm1 0.000 0.500 0.000 1
As1 0.000 0.252 0.000 1
As2 0.247 0.500 0.500 1
```

=====

Record 3
DFT (PBE-GGA) results for a relaxed LiAgF2 crystal.

distance to the lowest polymorph of the same formula	26	meV/atom
formation energy (no corrections)	-1.9322	eV per atom
total moment	0.00	Bohr magnetons per cell

CIF file:
```
data_LiAgF2
_chemical_formula_sum 'Li4 Ag4 F8'
_symmetry_space_group_name_H-M 'P 21 21 21'
_symmetry_Int_Tables_number 19
_cell_length_a 2.952
_cell_length_b 6.239
_cell_length_c 11.294
_cell_angle_alpha 90.00
_cell_angle_beta 90.00
_cell_angle_gamma 90.00
loop_
_symmetry_equiv_pos_as_xyz
'x,y,z'
'-x+1/2,-y,z+1/2'
'x+1/2,-y+1/2,-z'
'-x,y+1/2,-z+1/2'
loop_
_atom_site_label
_atom_site_fract_x
_atom_site_fract_y
_atom_site_fract_z
_atom_site_occupancy
Li1 0.218 0.214 0.395 1
Ag1 0.205 0.764 0.619 1
F1 0.219 0.088 0.554 1
F2 0.220 0.441 0.689 1
```

=====

Record 4
DFT (PBE-GGA) results for a relaxed Ce2PaV crystal.

energy of formation	425	meV per atom
total moment	2.97	Bohr magnetons per cell

CIF file:
```
data_Ce2PaV
_chemical_formula_sum 'Ce6 Pa3 V3'
_symmetry_space_group_name_H-M 'R -3 m'
_symmetry_Int_Tables_number 166
_symmetry_space_group_name_Hall '-R 3 2"'
_cell_length_a 3.0927
_cell_length_b 3.0927
_cell_length_c 32.5711
_cell_angle_alpha 90.00
_cell_angle_beta 90.00
_cell_angle_gamma 120.00
loop_
_atom_site_label
_atom_site_fract_x
_atom_site_fract_y
_atom_site_fract_z
_atom_site_occupancy
Ce1 0.0000 0.0000 0.0770 1
Pa1 0.0000 0.0000 0.5000 1
V1 0.0000 0.0000 0.0000 1
```

=====

no.,density of states at the Fermi level (states/eV per cell),E_tot (eV for the cell shown)
1,2.9,-69.2
2,1.9,-98.4
3,0.0,-64.9
4,29.3,-86.3